(1)
Ca8BiN4, relaxed, DFT PBE-GGA; symmetry = F-43m (216); V = 319.40 Å³/f.u.; D(E_F) = 1.87 states/eV per cell; formation energy (no corrections) = -0.67 eV per atom; raw total energy = -4.758 eV/atom
1.0
7.673 0.000 0.000
3.836 6.645 0.000
3.836 2.215 6.265
Ca Bi N
8 1 4
Direct
0.569 0.144 0.144
0.144 0.569 0.144
0.144 0.144 0.569
0.144 0.144 0.144
0.202 0.599 0.599
0.599 0.202 0.599
0.599 0.599 0.202
0.599 0.599 0.599
0.750 0.750 0.750
0.879 0.374 0.374
0.374 0.879 0.374
0.374 0.374 0.879
0.374 0.374 0.374


(2)
KTcPt2, relaxed, DFT PBE-GGA; symmetry = P4/mmm (123); V = 71.89 Å³/f.u.; relative energy among the computed polymorphs = 403 meV per atom; D(E_F) = 3.52 states/eV per cell; raw total energy = -5.401 eV/atom; formation energy from the elements = 0.49 eV/atom
1.0
2.731 0.000 0.000
0.000 5.131 0.000
0.000 0.000 5.131
K Pt Tc
1 2 1
Direct
0.500 0.000 0.500
0.000 0.000 0.000
0.000 0.500 0.500
0.500 0.500 0.000


(3)
Dy3Y3Er, relaxed, DFT PBE-GGA; symmetry = R-3 (148); V = 233.35 Å³/f.u.; relative energy among the computed polymorphs = 0 meV per atom; D(E_F) = 20.32 states/eV per cell; raw total energy = -5.248 eV/atom; formation energy from the elements = 0.15 eV/atom
1.0
5.879 0.000 1.889
2.636 5.255 1.889
-1.410 -0.870 14.479
Dy Y Er
6 6 2
Direct
0.198 0.867 0.399
0.536 0.198 0.399
0.867 0.536 0.399
0.133 0.464 0.601
0.464 0.802 0.601
0.802 0.133 0.601
0.934 0.268 0.198
0.600 0.934 0.198
0.268 0.600 0.198
0.732 0.400 0.802
0.400 0.066 0.802
0.066 0.732 0.802
0.667 0.667 0.000
0.333 0.333 0.000


(4)
HfInH, relaxed, DFT PBE-GGA; symmetry = P3m1 (156); V = 47.66 Å³/f.u.; relative energy among the computed polymorphs = 0 meV per atom; D(E_F) = 0.84 states/eV per cell; raw total energy = -5.706 eV/atom
1.0
-4.211 -2.432 -0.043
1.480 -2.591 1.553
-1.432 2.449 1.807
H Hf In
1 1 1
Direct
0.165 0.000 0.000
0.167 0.667 0.333
0.667 0.333 0.667